# CsZrCoO3 | OQMD | GGA+U | relaxed
# - Space group: No. 63
# - Total magnetic moment: 0.33 μB/atom
# - Calculated total energy: -6.881 eV per atom
data_CsZrCoO3
_chemical_formula_sum 'Cs2 Zr2 Co2 O6'
_cell_length_a 6.8917
_cell_length_b 6.8917
_cell_length_c 8.5667
_cell_angle_alpha 90.00
_cell_angle_beta 90.00
_cell_angle_gamma 151.85
_space_group_name_H-M_alt 'P 1'
_space_group_IT_number 1
loop_
_space_group_symop_operation_xyz
'x,y,z'
loop_
_atom_site_label
_atom_site_fract_x
_atom_site_fract_y
_atom_site_fract_z
Co1 0.5621 0.4379 0.2500
Co2 0.4379 0.5621 0.7500
Cs1 0.2764 0.7236 0.2500
Cs2 0.7236 0.2764 0.7500
O1 0.6030 0.3970 0.0293
O2 0.9652 0.0348 0.2500
O3 0.6030 0.3970 0.4707
O4 0.3970 0.6030 0.5293
O5 0.0348 0.9652 0.7500
O6 0.3970 0.6030 0.9707
Zr1 0.0000 0.0000 0.0000
Zr2 0.0000 0.0000 0.5000